Model 1:
A relaxed Hf2TaBr crystal. Source: Alexandria, functional PBE.

## Properties
**Volume**: 20.62 Å³/atom

The structure in CIF format:
```
data_Hf2TaBr
_chemical_formula_sum 'Hf2 Ta1 Br1'
_space_group_name_H-M_alt 'P 1'
_space_group_IT_number 1
_space_group_name_Hall 'P 1'
_cell_length_a 4.886
_cell_length_b 4.886
_cell_length_c 4.886
_cell_angle_alpha 60.00
_cell_angle_beta 60.00
_cell_angle_gamma 60.00
loop_
_atom_site_label
_atom_site_type_symbol
_atom_site_fract_x
_atom_site_fract_y
_atom_site_fract_z
Hf1 Hf 0.750 0.750 0.750
Hf2 Hf 0.250 0.250 0.250
Ta1 Ta 0.500 0.500 0.500
Br1 Br 0.000 0.000 0.000
```

Model 2:
A relaxed Hf2TaBr crystal. Source: Alexandria, functional PBE.

## Properties
**Volume**: 21.83 Å³/atom

The structure in CIF format:
```
data_Hf2TaBr
_chemical_formula_sum 'Hf4 Ta2 Br2'
_space_group_name_H-M_alt 'P 1'
_space_group_IT_number 1
_space_group_name_Hall 'P 1'
_cell_length_a 4.199
_cell_length_b 4.199
_cell_length_c 10.339
_cell_angle_alpha 78.28
_cell_angle_beta 78.28
_cell_angle_gamma 90.00
loop_
_atom_site_label
_atom_site_type_symbol
_atom_site_fract_x
_atom_site_fract_y
_atom_site_fract_z
Hf1 Hf 0.875 0.877 0.750
Hf2 Hf 0.375 0.373 0.750
Hf3 Hf 0.627 0.125 0.250
Hf4 Hf 0.123 0.625 0.250
Ta1 Ta 0.750 0.250 0.500
Ta2 Ta 0.000 0.000 0.000
Br1 Br 0.500 0.500 0.000
Br2 Br 0.250 0.750 0.500
```

In terms of stability, model 1 leads; the second structure lies 0.306 eV/atom higher.

Model 1:
A relaxed Hf3TaBr crystal. Source: Alexandria, functional PBE.

## Properties
**Volume**: 22.83 Å³/atom

The structure in CIF format:
```
data_Hf3TaBr
_chemical_formula_sum 'Hf3 Ta1 Br1'
_space_group_name_H-M_alt 'P 1'
_space_group_IT_number 1
_space_group_name_Hall 'P 1'
_cell_length_a 4.851
_cell_length_b 4.851
_cell_length_c 4.851
_cell_angle_alpha 90.00
_cell_angle_beta 90.00
_cell_angle_gamma 90.00
loop_
_atom_site_label
_atom_site_type_symbol
_atom_site_fract_x
_atom_site_fract_y
_atom_site_fract_z
Hf1 Hf 0.000 0.500 0.000
Hf2 Hf 0.000 0.000 0.500
Hf3 Hf 0.500 0.000 0.000
Ta1 Ta 0.500 0.500 0.500
Br1 Br 0.000 0.000 0.000
```

Model 2:
A relaxed Hf3TaBr crystal. Source: Alexandria, functional PBE.

## Properties
**Volume**: 27.89 Å³/atom

The structure in CIF format:
```
data_Hf3TaBr
_chemical_formula_sum 'Hf3 Ta1 Br1'
_space_group_name_H-M_alt 'P 1'
_space_group_IT_number 1
_space_group_name_Hall 'P 1'
_cell_length_a 5.186
_cell_length_b 5.186
_cell_length_c 5.186
_cell_angle_alpha 90.00
_cell_angle_beta 90.00
_cell_angle_gamma 90.00
loop_
_atom_site_label
_atom_site_type_symbol
_atom_site_fract_x
_atom_site_fract_y
_atom_site_fract_z
Br1 Br 0.500 0.500 0.500
Hf1 Hf 0.000 0.000 0.500
Hf2 Hf 0.000 0.500 0.000
Hf3 Hf 0.500 0.000 0.000
Ta1 Ta 0.000 0.000 0.000
```

In terms of stability, model 1 leads; the second structure lies 0.306 eV/atom higher.

Model 1:
A relaxed HfTa2Br2 crystal. Source: Alexandria, functional PBE.

## Properties
**Volume**: 21.97 Å³/atom

The structure in CIF format:
```
data_HfTa2Br2
_chemical_formula_sum 'Hf1 Ta2 Br2'
_space_group_name_H-M_alt 'P 1'
_space_group_IT_number 1
_space_group_name_Hall 'P 1'
_cell_length_a 4.111
_cell_length_b 4.111
_cell_length_c 7.121
_cell_angle_alpha 73.22
_cell_angle_beta 73.22
_cell_angle_gamma 90.00
loop_
_atom_site_label
_atom_site_type_symbol
_atom_site_fract_x
_atom_site_fract_y
_atom_site_fract_z
Ta1 Ta 0.603 0.603 0.793
Ta2 Ta 0.397 0.397 0.207
Br1 Br 0.750 0.250 0.500
Br2 Br 0.250 0.750 0.500
Hf1 Hf 0.000 0.000 0.000
```

Model 2:
A relaxed HfTa2Br2 crystal. Source: Alexandria, functional PBE.

## Properties
**Volume**: 19.90 Å³/atom

The structure in CIF format:
```
data_HfTa2Br2
_chemical_formula_sum 'Hf2 Ta4 Br4'
_space_group_name_H-M_alt 'P 1'
_space_group_IT_number 1
_space_group_name_Hall 'P 1'
_cell_length_a 8.080
_cell_length_b 8.080
_cell_length_c 3.047
_cell_angle_alpha 90.00
_cell_angle_beta 90.00
_cell_angle_gamma 90.00
loop_
_atom_site_label
_atom_site_type_symbol
_atom_site_fract_x
_atom_site_fract_y
_atom_site_fract_z
Ta1 Ta 0.346 0.846 0.000
Ta2 Ta 0.654 0.154 0.000
Ta3 Ta 0.154 0.346 0.000
Ta4 Ta 0.846 0.654 0.000
Br1 Br 0.140 0.640 0.500
Br2 Br 0.860 0.360 0.500
Br3 Br 0.360 0.140 0.500
Br4 Br 0.640 0.860 0.500
Hf1 Hf 0.000 0.000 0.000
Hf2 Hf 0.500 0.500 0.000
```

In terms of stability, model 1 leads; the second structure lies 0.327 eV/atom higher.

Model 1:
A relaxed Hf2Tc2Br crystal. Source: Alexandria, functional PBE.

## Properties
**Volume**: 21.41 Å³/atom

The structure in CIF format:
```
data_Hf2Tc2Br
_chemical_formula_sum 'Hf2 Tc2 Br1'
_space_group_name_H-M_alt 'P 1'
_space_group_IT_number 1
_space_group_name_Hall 'P 1'
_cell_length_a 5.143
_cell_length_b 5.143
_cell_length_c 5.441
_cell_angle_alpha 61.80
_cell_angle_beta 61.80
_cell_angle_gamma 90.00
loop_
_atom_site_label
_atom_site_type_symbol
_atom_site_fract_x
_atom_site_fract_y
_atom_site_fract_z
Hf1 Hf 0.250 0.750 0.500
Hf2 Hf 0.750 0.250 0.500
Tc1 Tc 0.355 0.355 0.290
Tc2 Tc 0.645 0.645 0.710
Br1 Br 0.000 0.000 0.000
```

Model 2:
A relaxed Hf2Tc2Br crystal. Source: Alexandria, functional PBE.

## Properties
**Volume**: 19.34 Å³/atom

The structure in CIF format:
```
data_Hf2Tc2Br
_chemical_formula_sum 'Hf4 Tc4 Br2'
_space_group_name_H-M_alt 'P 1'
_space_group_IT_number 1
_space_group_name_Hall 'P 1'
_cell_length_a 7.635
_cell_length_b 7.635
_cell_length_c 3.318
_cell_angle_alpha 90.00
_cell_angle_beta 90.00
_cell_angle_gamma 90.00
loop_
_atom_site_label
_atom_site_type_symbol
_atom_site_fract_x
_atom_site_fract_y
_atom_site_fract_z
Hf1 Hf 0.351 0.149 0.500
Hf2 Hf 0.149 0.649 0.500
Hf3 Hf 0.851 0.351 0.500
Hf4 Hf 0.649 0.851 0.500
Br1 Br 0.500 0.500 0.000
Br2 Br 0.000 0.000 0.000
Tc1 Tc 0.363 0.863 0.000
Tc2 Tc 0.863 0.637 0.000
Tc3 Tc 0.137 0.363 0.000
Tc4 Tc 0.637 0.137 0.000
```

In terms of stability, model 2 leads; the second structure lies 0.353 eV/atom higher.

Model 1:
A relaxed Hf3TcBr crystal. Source: Alexandria, functional PBE.

## Properties
**Volume**: 25.87 Å³/atom

The structure in CIF format:
```
data_Hf3TcBr
_chemical_formula_sum 'Hf3 Tc1 Br1'
_space_group_name_H-M_alt 'P 1'
_space_group_IT_number 1
_space_group_name_Hall 'P 1'
_cell_length_a 5.057
_cell_length_b 5.057
_cell_length_c 5.057
_cell_angle_alpha 90.00
_cell_angle_beta 90.00
_cell_angle_gamma 90.00
loop_
_atom_site_label
_atom_site_type_symbol
_atom_site_fract_x
_atom_site_fract_y
_atom_site_fract_z
Hf1 Hf 0.000 0.000 0.500
Hf2 Hf 0.500 0.000 0.000
Hf3 Hf 0.000 0.500 0.000
Tc1 Tc 0.000 0.000 0.000
Br1 Br 0.500 0.500 0.500
```

Model 2:
A relaxed Hf3TcBr crystal. Source: Alexandria, functional PBE.

## Properties
**Volume**: 22.43 Å³/atom

The structure in CIF format:
```
data_Hf3TcBr
_chemical_formula_sum 'Hf3 Tc1 Br1'
_space_group_name_H-M_alt 'P 1'
_space_group_IT_number 1
_space_group_name_Hall 'P 1'
_cell_length_a 4.822
_cell_length_b 4.822
_cell_length_c 4.822
_cell_angle_alpha 90.00
_cell_angle_beta 90.00
_cell_angle_gamma 90.00
loop_
_atom_site_label
_atom_site_type_symbol
_atom_site_fract_x
_atom_site_fract_y
_atom_site_fract_z
Br1 Br 0.000 0.000 0.000
Hf1 Hf 0.000 0.000 0.500
Hf2 Hf 0.500 0.000 0.000
Hf3 Hf 0.000 0.500 0.000
Tc1 Tc 0.500 0.500 0.500
```

In terms of stability, model 1 leads; the second structure lies 0.446 eV/atom higher.

Model 1:
A relaxed Hf2TcBr crystal. Source: Alexandria, functional PBE.

## Properties
**Volume**: 28.28 Å³/atom

The structure in CIF format:
```
data_Hf2TcBr
_chemical_formula_sum 'Hf4 Tc2 Br2'
_space_group_name_H-M_alt 'P 1'
_space_group_IT_number 1
_space_group_name_Hall 'P 1'
_cell_length_a 5.866
_cell_length_b 5.866
_cell_length_c 7.772
_cell_angle_alpha 67.83
_cell_angle_beta 67.83
_cell_angle_gamma 90.00
loop_
_atom_site_label
_atom_site_type_symbol
_atom_site_fract_x
_atom_site_fract_y
_atom_site_fract_z
Hf1 Hf 0.058 0.625 0.250
Hf2 Hf 0.875 0.942 0.750
Hf3 Hf 0.692 0.125 0.250
Hf4 Hf 0.375 0.308 0.750
Br1 Br 0.250 0.750 0.500
Br2 Br 0.500 0.500 0.000
Tc1 Tc 0.000 0.000 0.000
Tc2 Tc 0.750 0.250 0.500
```

Model 2:
A relaxed Hf2TcBr crystal. Source: Alexandria, functional PBE.

## Properties
**Volume**: 19.17 Å³/atom

The structure in CIF format:
```
data_Hf2TcBr
_chemical_formula_sum 'Hf2 Tc1 Br1'
_space_group_name_H-M_alt 'P 1'
_space_group_IT_number 1
_space_group_name_Hall 'P 1'
_cell_length_a 4.768
_cell_length_b 4.768
_cell_length_c 4.768
_cell_angle_alpha 60.00
_cell_angle_beta 60.00
_cell_angle_gamma 60.00
loop_
_atom_site_label
_atom_site_type_symbol
_atom_site_fract_x
_atom_site_fract_y
_atom_site_fract_z
Br1 Br 0.000 0.000 0.000
Hf1 Hf 0.750 0.750 0.750
Hf2 Hf 0.250 0.250 0.250
Tc1 Tc 0.500 0.500 0.500
```

In terms of stability, model 2 leads; the second structure lies 0.344 eV/atom higher.